This record from the Alexandria database describes an optimized crystal structure of NaCaIn6. The functional is PBE.

Calculated values
Distance to the lowest polymorph of the same formula in meV per atom: 16
Calculated formation energy in eV/atom: -0.17

Lattice parameters (Å, degrees): 5.1293 6.6722 6.3492 90.00 90.00 90.00
Closest atoms and distances in Å follow each position.
Fractional positions:
Na: 0.0000 0.0000 0.0000  10 In 3.30-3.46
Ca: 0.5000 0.5000 0.2575  10 In 3.33-3.46
In: 0.0000 0.2540 0.4753  7 In 3.22-3.39, 2 Ca 3.34, 1 Na 3.46
In: 0.0000 0.5000 0.9242  6 In 3.22-3.29, 2 Ca 3.33, 2 Na 3.37
In: 0.0000 0.7460 0.4753  7 In 3.22-3.39, 2 Ca 3.34, 1 Na 3.46
In: 0.5000 0.0000 0.3264  6 In 3.22-3.33, 2 Na 3.30, 2 Ca 3.36
In: 0.5000 0.2409 0.7852  7 In 3.21-3.46, 2 Na 3.32, 1 Ca 3.46
In: 0.5000 0.7591 0.7852  7 In 3.21-3.46, 2 Na 3.32, 1 Ca 3.46